# PBE-GGA Pr2DyTm4Sc, relaxed
# ρ	7802	kg/m3
# E	-4.76	eV per atom
data_Pr2DyTm4Sc
_symmetry_space_group_name_H-M 'P 1'
_symmetry_Int_Tables_number 1
_cell_length_a 5.011
_cell_length_b 5.006
_cell_length_c 11.079
_cell_angle_alpha 63.14
_cell_angle_beta 90.00
_cell_angle_gamma 90.00
loop_
_symmetry_equiv_pos_as_xyz
'x,y,z'
loop_
_atom_site_label
_atom_site_fract_x
_atom_site_fract_y
_atom_site_fract_z
Tm1 0.000 0.746 0.754
Tm2 0.000 0.254 0.246
Tm3 0.500 0.754 0.245
Tm4 0.500 0.246 0.755
Sc1 0.500 0.500 0.000
Pr1 0.000 0.000 0.000
Pr2 0.500 0.000 0.500
Dy1 0.000 0.500 0.500